# 1
VASP calculation (GGA-PBE) on an optimized crystal structure of Na2Hf2Cd.

polymorph energy (0 for the lowest one)	9.66	kJ/mol of atoms
final energy	-19.2	eV per formula unit
formation energy	413	kJ/mol of formula units

```
Na2Hf2Cd
1.0
9.509 0.000 0.000
0.000 9.509 0.000
0.000 0.000 2.973
Na Hf Cd
4 4 2
direct
0.811 0.311 0.500
0.689 0.811 0.500
0.189 0.689 0.500
0.311 0.189 0.500
0.894 0.606 0.000
0.106 0.394 0.000
0.606 0.106 0.000
0.394 0.894 0.000
0.500 0.500 0.000
0.000 0.000 0.000
```



# 2
VASP calculation (GGA-PBE) on an optimized crystal structure of Co3C4.

polymorph energy (0 for the lowest one)	44.38	kJ/mol of atoms
final energy	-49.0	eV per formula unit
formation energy	884	kJ/mol of formula units

```
Co3C4
1.0
3.938 0.000 0.000
0.000 3.938 0.000
0.000 0.000 3.938
C Co
4 3
direct
0.500 0.000 0.500
0.000 0.000 0.000
0.500 0.500 0.000
0.000 0.500 0.500
0.500 0.000 0.000
0.000 0.000 0.500
0.000 0.500 0.000
```



# 3
VASP calculation (GGA-PBE) on an optimized crystal structure of PmAs3.

polymorph energy (0 for the lowest one)	0.00	kJ/mol of atoms
final energy	-21.1	eV per formula unit
formation energy	-231	kJ/mol of formula units

```
PmAs3
1.0
5.827 0.000 0.000
0.000 4.005 0.000
0.000 0.000 4.327
As Pm
3 1
direct
0.000 0.000 0.851
0.000 0.500 0.467
0.500 0.500 0.268
0.500 0.000 0.748
```



# 4
VASP calculation (GGA-PBE) on an optimized crystal structure of Co2BMo.

final energy	-31.8	eV per formula unit
formation energy	-6	kJ/mol of formula units

```
Co2BMo
1.0
3.621 0.000 0.000
0.000 4.710 0.000
0.000 0.000 4.971
B Co Mo
2 4 2
direct
0.500 0.000 0.774
0.000 0.500 0.226
0.000 0.240 0.850
0.500 0.740 0.150
0.500 0.260 0.150
0.000 0.760 0.850
0.500 0.500 0.610
0.000 0.000 0.390
```



# 5
VASP calculation (GGA-PBE) on an optimized crystal structure of TaTcHRu2.

polymorph energy (0 for the lowest one)	0.00	kJ/mol of atoms
final energy	-44.9	eV per formula unit

```
TaTcHRu2
1.0
-0.922 -1.096 -3.693
-2.474 -2.743 1.431
-2.950 2.636 -0.046
Ta Tc H Ru
1 1 1 2
direct
0.500 0.500 0.500
0.000 0.000 0.500
0.000 0.000 0.000
0.000 0.500 0.000
0.500 0.000 0.000
```



# 6
VASP calculation (GGA-PBE) on an optimized crystal structure of MnRe2P.

final energy	-38.9	eV per formula unit
formation energy	56	kJ/mol of formula units

```
MnRe2P
1.0
-2.900 -3.047 1.478
-0.499 -3.317 2.937
-1.772 2.629 3.403
Mn Re P
1 2 1
direct
0.000 0.000 0.500
0.735 0.735 0.255
0.265 0.265 0.745
0.500 0.500 0.000
```



# 7
VASP calculation (GGA-PBE) on an optimized crystal structure of Dy5MgBi2.

final energy	-34.7	eV per formula unit
formation energy	-223	kJ/mol of formula units

```
Dy5MgBi2
1.0
4.084 0.000 0.000
-2.042 5.946 0.000
0.000 0.000 19.409
Bi Mg Dy
4 2 10
direct
0.765 0.530 0.353
0.235 0.470 0.853
0.235 0.470 0.647
0.765 0.530 0.147
0.152 0.305 0.250
0.848 0.695 0.750
0.950 0.900 0.895
0.579 0.158 0.750
0.357 0.713 0.474
0.050 0.100 0.395
0.950 0.900 0.605
0.050 0.100 0.105
0.643 0.287 0.974
0.643 0.287 0.526
0.421 0.842 0.250
0.357 0.713 0.026
```



# 8
VASP calculation (GGA-PBE) on an optimized crystal structure of CeYHo3.

polymorph energy (0 for the lowest one)	7.13	kJ/mol of atoms
final energy	-25.2	eV per formula unit
formation energy	87	kJ/mol of formula units

```
CeYHo3
1.0
-0.285 -8.277 4.238
9.971 2.016 4.608
-11.566 0.765 0.717
Ho Ce Y
12 4 4
direct
0.045 0.594 0.808
0.459 0.168 0.751
0.545 0.406 0.692
0.889 0.045 0.410
0.389 0.955 0.090
0.041 0.168 0.251
0.541 0.832 0.249
0.455 0.594 0.308
0.111 0.955 0.590
0.959 0.832 0.749
0.955 0.406 0.192
0.611 0.045 0.910
0.236 0.154 0.501
0.264 0.154 0.001
0.736 0.846 0.999
0.764 0.846 0.499
0.691 0.434 0.444
0.809 0.434 0.944
0.309 0.566 0.556
0.191 0.566 0.056
```



Question: Number 2 is which compound?
Answer: Co3C4



Copy entry 8 word for word.
VASP calculation (GGA-PBE) on an optimized crystal structure of CeYHo3.

polymorph energy (0 for the lowest one)	7.13	kJ/mol of atoms
final energy	-25.2	eV per formula unit
formation energy	87	kJ/mol of formula units

```
CeYHo3
1.0
-0.285 -8.277 4.238
9.971 2.016 4.608
-11.566 0.765 0.717
Ho Ce Y
12 4 4
direct
0.045 0.594 0.808
0.459 0.168 0.751
0.545 0.406 0.692
0.889 0.045 0.410
0.389 0.955 0.090
0.041 0.168 0.251
0.541 0.832 0.249
0.455 0.594 0.308
0.111 0.955 0.590
0.959 0.832 0.749
0.955 0.406 0.192
0.611 0.045 0.910
0.236 0.154 0.501
0.264 0.154 0.001
0.736 0.846 0.999
0.764 0.846 0.499
0.691 0.434 0.444
0.809 0.434 0.944
0.309 0.566 0.556
0.191 0.566 0.056
```